{"formula": "TaIr3Rh", "functional": "meta-GGA SCAN", "state": "single point on PBEsol structure", "lattice_angstrom": [[4.6564, 0.0000, 0.0000], [0.0000, 4.6564, 0.0000], [0.0000, 0.0000, 4.6564]], "species": ["Ta", "Ir", "Ir", "Ir", "Rh"], "fractional_positions": [[0.0000, 0.0000, 0.0000], [0.0000, 0.0000, 0.5000], [0.0000, 0.5000, 0.0000], [0.5000, 0.0000, 0.0000], [0.5000, 0.5000, 0.5000]], "e_tot_ev_per_atom": -60.87, "spacegroup": "No. 221", "delta_e_f_ev_per_atom": 1.863}